(1)
## Fe4ReIr (meta-GGA SCAN)

Data for Fe4ReIr at its PBEsol-relaxed geometry.

The calculation puts the total DFT energy (no corrections) at -35.762 eV/atom. As for the calculated volume: 277 Å³/cell.

It has space group F-43m (No. 216), with a = 6.517 Å, b = 6.517 Å, c = 6.517 Å, α = 90.00°, β = 90.00° and γ = 90.00°. The inequivalent atoms are Fe at (0.125, 0.125, 0.125), Re at (0.250, 0.250, 0.750) and Ir at (0.000, 0.000, 0.500).

(2)
## FeIrRh2 (meta-GGA SCAN)

Data for FeIrRh2 at its PBEsol-relaxed geometry.

The calculation puts the total DFT energy (no corrections) at -39.275 eV/atom. As for the calculated volume: 52 Å³/cell.

It has space group P4mm (No. 99), with a = 2.664 Å, b = 2.664 Å, c = 7.327 Å, α = 90.00°, β = 90.00° and γ = 90.00°. The inequivalent atoms are Fe at (0.000, 0.000, 0.000), Ir at (0.500, 0.500, 0.239), Rh at (0.000, 0.000, 0.500) and Rh at (0.500, 0.500, 0.761).

(3)
## FeIrRh3 (meta-GGA SCAN)

Data for FeIrRh3 at its PBEsol-relaxed geometry.

The calculation puts the total DFT energy (no corrections) at -36.589 eV/atom. As for the calculated volume: 78 Å³/cell.

It has space group Pm-3m (No. 221), with a = 4.266 Å, b = 4.266 Å, c = 4.266 Å, α = 90.00°, β = 90.00° and γ = 90.00°. The inequivalent atoms are Fe at (0.000, 0.000, 0.000), Ir at (0.500, 0.500, 0.500) and Rh at (0.000, 0.000, 0.500).

- Among the records above, which one has the highest calculated volume?
  Fe4ReIr

- total DFT energy (no corrections) of number 1 (Fe4ReIr)?
  -35.762 eV/atom

- Which of these has the lowest calculated volume?
  FeIrRh2

- What is the formula in the first record?
  Fe4ReIr